(1)
Er2FeOs3 | OQMD via LeMat-Bulk | PBE | optimized geometry; energy relative to the elements = -0.3139 eV/atom; space-group type = No. 194
1.0
5.294 0.000 0.000
-2.647 4.584 0.000
0.000 0.000 8.567
Er Fe Os
4 2 6
direct
0.667 0.333 0.067
0.667 0.333 0.433
0.333 0.667 0.567
0.333 0.667 0.933
0.000 0.000 0.000
0.000 0.000 0.500
0.169 0.339 0.250
0.169 0.831 0.250
0.661 0.831 0.250
0.339 0.169 0.750
0.831 0.169 0.750
0.831 0.661 0.750

(2)
ErFeP2 | OQMD via LeMat-Bulk | PBE | optimized geometry; space-group type = No. 62
1.0
3.647 0.000 0.000
0.000 19.470 0.000
-3.645 0.000 3.680
Er Fe P
4 4 8
direct
0.975 0.114 0.225
0.025 0.614 0.275
0.975 0.386 0.725
0.025 0.886 0.775
0.479 0.250 0.228
0.521 0.750 0.272
0.479 0.250 0.728
0.521 0.750 0.772
0.459 0.499 0.209
0.977 0.327 0.227
0.023 0.827 0.273
0.541 0.999 0.291
0.459 0.001 0.709
0.977 0.173 0.727
0.023 0.673 0.773
0.541 0.501 0.791

(3)
ErFe4P2 | OQMD via LeMat-Bulk | PBE | optimized geometry; space-group type = No. 136
1.0
6.982 0.000 0.000
0.000 6.982 0.000
0.000 0.000 3.589
Er Fe P
2 8 4
direct
0.000 0.000 0.000
0.500 0.500 0.500
0.419 0.156 0.000
0.156 0.419 0.000
0.844 0.581 0.000
0.581 0.844 0.000
0.656 0.081 0.500
0.919 0.344 0.500
0.081 0.656 0.500
0.344 0.919 0.500
0.720 0.280 0.000
0.280 0.720 0.000
0.220 0.220 0.500
0.780 0.780 0.500

(4)
Er4FePb | OQMD via LeMat-Bulk | PBE | optimized geometry; space-group type = No. 15
1.0
4.346 -6.574 0.000
4.346 6.574 0.000
-1.993 0.000 5.610
Er Fe Pb
8 2 2
direct
0.947 0.268 0.052
0.346 0.203 0.130
0.797 0.654 0.370
0.732 0.053 0.448
0.268 0.947 0.552
0.203 0.346 0.630
0.654 0.797 0.870
0.053 0.732 0.948
0.000 0.000 0.250
0.000 0.000 0.750
0.370 0.630 0.250
0.630 0.370 0.750

(5)
Er5FePb3 | OQMD via LeMat-Bulk | PBE | optimized geometry; space-group type = No. 193
1.0
9.181 0.000 0.000
-4.590 7.951 0.000
0.000 0.000 6.483
Er Fe Pb
10 2 6
direct
0.667 0.333 0.000
0.333 0.667 0.000
0.232 0.000 0.250
0.000 0.232 0.250
0.768 0.768 0.250
0.667 0.333 0.500
0.333 0.667 0.500
0.768 0.000 0.750
0.232 0.232 0.750
0.000 0.768 0.750
0.000 0.000 0.000
0.000 0.000 0.500
0.599 0.000 0.250
0.401 0.401 0.250
0.000 0.599 0.250
0.401 0.000 0.750
0.000 0.401 0.750
0.599 0.599 0.750

(6)
TbErFe2Pb | OQMD via LeMat-Bulk | PBE | optimized geometry; space-group type = No. 38
1.0
3.809 0.000 0.000
0.000 1.952 7.128
0.000 -1.952 7.128
Er Fe Pb Tb
1 2 1 1
direct
0.000 0.361 0.361
0.500 0.207 0.207
0.500 0.795 0.795
0.500 0.999 0.999
0.000 0.638 0.638

(7)
YErFe2Pb | OQMD via LeMat-Bulk | PBE | optimized geometry; space-group type = No. 38
1.0
-2.433 2.337 1.733
4.685 0.668 5.677
5.658 3.518 3.201
Er Fe Pb Y
1 2 1 1
direct
0.000 0.639 0.639
0.500 0.204 0.204
0.500 0.793 0.793
0.500 0.001 0.001
0.000 0.363 0.363

(8)
PmErFe | OQMD via LeMat-Bulk | PBE | optimized geometry; energy relative to the elements = 0.2288 eV/atom; space-group type = No. 216
1.0
0.000 3.327 3.327
3.327 0.000 3.327
3.327 3.327 0.000
Er Fe Pm
1 1 1
direct
0.250 0.250 0.250
0.000 0.000 0.000
0.750 0.750 0.750

(9)
PrErFe | OQMD via LeMat-Bulk | PBE | optimized geometry; energy relative to the elements = 0.2562 eV/atom; space-group type = No. 216
1.0
-0.921 -4.350 1.608
-3.699 -0.732 2.852
-3.779 -2.356 -1.587
Er Fe Pr
1 1 1
direct
0.250 0.250 0.250
0.000 0.000 0.000
0.750 0.750 0.750

(10)
ErFePt | OQMD via LeMat-Bulk | PBE | optimized geometry; energy relative to the elements = 0.2493 eV/atom; space-group type = No. 216
1.0
0.000 3.189 3.189
3.189 0.000 3.189
3.189 3.189 0.000
Er Fe Pt
1 1 1
direct
0.000 0.000 0.000
0.250 0.250 0.250
0.750 0.750 0.750

(11)
ErFePt | OQMD via LeMat-Bulk | PBE | optimized geometry; energy relative to the elements = -0.3235 eV/atom; space-group type = No. 216
1.0
2.013 0.916 3.921
0.425 4.267 1.369
-2.429 1.499 3.481
Er Fe Pt
1 1 1
direct
0.250 0.250 0.250
0.750 0.750 0.750
0.000 0.000 0.000

(12)
RbErFe | OQMD via LeMat-Bulk | PBE | optimized geometry; space-group type = No. 216
1.0
-3.399 -3.898 -0.272
-1.980 -2.017 4.340
-4.973 0.811 1.199
Er Fe Rb
1 1 1
direct
0.000 0.000 0.000
0.250 0.250 0.250
0.750 0.750 0.750

Number 1: M_tot 0.322 μB per atom, energy -8.833 eV per atom. Number 2: M_tot 0.658 μB per atom, energy -6.824 eV per atom. Number 3: M_tot 0.468 μB per atom, energy -7.646 eV per atom. Number 4: M_tot 0.000 μB per atom, energy -5.282 eV per atom. Number 5: M_tot 0.002 μB per atom, energy -5.075 eV per atom. Number 6: M_tot 0.614 μB per atom, energy -6.106 eV per atom. Number 7: M_tot 0.620 μB per atom, energy -6.475 eV per atom. Number 8: M_tot 0.077 μB per atom, energy -5.644 eV per atom. Number 9: M_tot 0.092 μB per atom, energy -5.626 eV per atom. Number 10: M_tot 0.947 μB per atom, energy -6.060 eV per atom. Number 11: M_tot 1.022 μB per atom, energy -6.633 eV per atom. Number 12: M_tot 0.610 μB per atom, energy -3.068 eV per atom.